# Ca2BiAs2

A geometry-optimized Ca2BiAs2 structure (PBE, the Alexandria database).

Summary:
* final energy: -4.240 eV per atom
* formation energy: -0.804 eV per atom
* energy above the lowest structure with this stoichiometry: 0.0000 eV/atom

a b c (Å): 8.0586 8.0586 4.0344
angles (deg): 90.00 90.00 90.00
Last column: nearest neighbours and their distance in Å.
Space group P4/mbm (No. 127)
Symmetry-distinct sites (fractional):
Ca (0.1484, 0.3516, 0.0000) x4  6 As 3.00-3.18
Bi (0.0000, 0.0000, 0.5000) x2  4 As 3.04
As (0.1571, 0.6571, 0.5000) x4  6 Ca 3.00-3.18, 2 Bi 3.04